[1]
Entry from Alexandria via LeMat-Bulk: a crystal of BeCuAu2 relaxed with PBEsol (meta-GGA SCAN).

Values from the calculation:
As for the space group: No. 123. The calculation puts the calculated total energy at -39.607 eV/atom. The value obtained for the volume is 54 Å³ per cell.

abc: 3.0481 4.2059 4.2059
angles: 90.00 90.00 90.00
Element x y z (fractional)
Cu  0.5000  0.0000  0.0000
Be  0.5000  0.5000  0.5000
Au  0.0000  0.0000  0.5000
Au  0.0000  0.5000  0.0000

[2]
Entry from Alexandria via LeMat-Bulk: a crystal of Be2CuAu2 relaxed with PBEsol (meta-GGA SCAN).

Values from the calculation:
As for the space group: No. 127. The calculation puts the calculated total energy at -32.640 eV/atom. The value obtained for the volume is 129 Å³ per cell.

abc: 2.7691 6.8300 6.8300
angles: 90.00 90.00 90.00
Element x y z (fractional)
Be  0.5000  0.3509  0.1491
Cu  0.0000  0.5000  0.5000
Au  0.0000  0.8502  0.6498
Au  0.0000  0.3502  0.8502
Au  0.0000  0.6498  0.1498
Au  0.0000  0.1498  0.3502
Be  0.5000  0.6491  0.8509
Cu  0.0000  0.0000  0.0000
Be  0.5000  0.8509  0.3509
Be  0.5000  0.1491  0.6491

[3]
Entry from Alexandria via LeMat-Bulk: a crystal of BeCuAu2 relaxed with PBEsol (meta-GGA SCAN).

Values from the calculation:
As for the space group: No. 38. The calculation puts the calculated total energy at -39.617 eV/atom. The value obtained for the volume is 54 Å³ per cell.

abc: 2.8927 3.8712 5.0219
angles: 90.00 106.74 90.00
Element x y z (fractional)
Cu  0.6863  0.5000  0.3727
Au  0.0868  0.0000  0.1736
Be  0.8217  0.0000  0.6434
Au  0.4103  0.5000  0.8205

[4]
Entry from Alexandria via LeMat-Bulk: a crystal of Be3CuAu relaxed with PBEsol (meta-GGA SCAN).

Values from the calculation:
As for the space group: No. 221. The calculation puts the calculated total energy at -18.998 eV/atom. The value obtained for the volume is 63 Å³ per cell.

abc: 3.9754 3.9754 3.9754
angles: 90.00 90.00 90.00
Element x y z (fractional)
Be  0.0000  0.0000  0.5000
Cu  0.0000  0.0000  0.0000
Be  0.5000  0.0000  0.0000
Be  0.0000  0.5000  0.0000
Au  0.5000  0.5000  0.5000

[5]
Entry from Alexandria via LeMat-Bulk: a crystal of Be2CuAu2 relaxed with PBEsol (meta-GGA SCAN).

Values from the calculation:
As for the space group: No. 139. The calculation puts the calculated total energy at -32.648 eV/atom. The value obtained for the volume is 65 Å³ per cell.

abc: 3.2338 3.2338 6.5954
angles: 104.19 104.19 90.00
Element x y z (fractional)
Au  0.6135  0.6135  0.2270
Au  0.3865  0.3865  0.7730
Be  0.7500  0.2500  0.5000
Be  0.2500  0.7500  0.5000
Cu  0.0000  0.0000  0.0000

[6]
Entry from Alexandria via LeMat-Bulk: a crystal of BeCuAu2 relaxed with PBEsol (meta-GGA SCAN).

Values from the calculation:
As for the space group: No. 139. The calculation puts the calculated total energy at -39.621 eV/atom. The value obtained for the volume is 54 Å³ per cell.

abc: 4.2583 4.2596 4.2288
angles: 120.24 120.23 90.00
Element x y z (fractional)
Be  0.0000  0.5000  0.0000
Au  0.7500  0.7500  0.5000
Au  0.2500  0.2500  0.5000
Cu  0.5000  0.0000  0.0000

[7]
Entry from Alexandria via LeMat-Bulk: a crystal of BeFeCuAu2 relaxed with PBEsol (meta-GGA SCAN).

Values from the calculation:
As for the space group: No. 123. The calculation puts the calculated total energy at -34.463 eV/atom. The value obtained for the volume is 83 Å³ per cell.

abc: 3.8466 4.6454 4.6454
angles: 90.00 90.00 90.00
Last column: magnetic moment on the atom in μB.
Element x y z (fractional)
Fe  0.5000  0.5000  0.5000  3.43
Au  0.0000  0.5000  0.0000  0.02
Be  0.5000  0.0000  0.0000  -0.02
Cu  0.0000  0.0000  0.0000  0.00
Au  0.0000  0.0000  0.5000  0.02

[8]
Entry from Alexandria via LeMat-Bulk: a crystal of BeFeCuAu2 relaxed with PBEsol (meta-GGA SCAN).

Values from the calculation:
As for the space group: No. 123. The calculation puts the calculated total energy at -34.162 eV/atom. The value obtained for the volume is 91 Å³ per cell.

abc: 4.2436 4.6271 4.6271
angles: 90.00 90.00 90.00
Last column: magnetic moment on the atom in μB.
Element x y z (fractional)
Au  0.0000  0.5000  0.0000  -0.02
Au  0.0000  0.0000  0.5000  -0.02
Be  0.5000  0.5000  0.5000  -0.03
Cu  0.0000  0.0000  0.0000  0.16
Fe  0.5000  0.0000  0.0000  3.19

[9]
Entry from Alexandria via LeMat-Bulk: a crystal of BeNb2CuAu relaxed with PBEsol (meta-GGA SCAN).

Values from the calculation:
As for the space group: No. 123. The calculation puts the calculated total energy at -30.535 eV/atom. The value obtained for the volume is 79 Å³ per cell.

abc: 4.1622 4.3577 4.3577
angles: 90.00 90.00 90.00
Element x y z (fractional)
Be  0.0000  0.0000  0.0000
Au  0.5000  0.0000  0.0000
Cu  0.5000  0.5000  0.5000
Nb  0.0000  0.0000  0.5000
Nb  0.0000  0.5000  0.0000

[10]
Entry from Alexandria via LeMat-Bulk: a crystal of BeFeAu3 relaxed with PBEsol (meta-GGA SCAN).

Values from the calculation:
As for the space group: No. 221. The calculation puts the calculated total energy at -44.959 eV/atom. The value obtained for the volume is 103 Å³ per cell.

abc: 4.6909 4.6909 4.6909
angles: 90.00 90.00 90.00
Last column: magnetic moment on the atom in μB.
Element x y z (fractional)
Au  0.5000  0.0000  0.0000  0.09
Be  0.5000  0.5000  0.5000  0.03
Au  0.0000  0.0000  0.5000  0.09
Au  0.0000  0.5000  0.0000  0.09
Fe  0.0000  0.0000  0.0000  2.96

[11]
Entry from Alexandria via LeMat-Bulk: a crystal of NaBeGaAu2 relaxed with PBEsol (meta-GGA SCAN).

Values from the calculation:
As for the space group: No. 123. The calculation puts the calculated total energy at -32.023 eV/atom. The value obtained for the volume is 114 Å³ per cell.

abc: 4.7675 4.7675 4.9945
angles: 90.00 90.00 90.00
Element x y z (fractional)
Be  0.5000  0.5000  0.5000
Ga  0.0000  0.0000  0.0000
Au  0.5000  0.0000  0.0000
Au  0.0000  0.5000  0.0000
Na  0.0000  0.0000  0.5000

[12]
Entry from Alexandria via LeMat-Bulk: a crystal of BeGaOs2Au relaxed with PBEsol (meta-GGA SCAN).

Values from the calculation:
As for the space group: No. 123. The calculation puts the calculated total energy at -45.992 eV/atom. The value obtained for the volume is 70 Å³ per cell.

abc: 4.0657 4.1417 4.1417
angles: 90.00 90.00 90.00
Element x y z (fractional)
Be  0.0000  0.0000  0.0000
Au  0.5000  0.5000  0.5000
Ga  0.5000  0.0000  0.0000
Os  0.0000  0.0000  0.5000
Os  0.0000  0.5000  0.0000